No. 1
The following is a DFT calculation (PBE-GGA) of an optimized crystal structure of Cd2HgPd8.

Summary:
- energy of formation from the pure elements (eV/f.u.) = -2.44
- V (A^3/atom) = 16.56

abc: 14.451 4.104 6.390
angles: 90.00 105.92 90.00
Space group C2/m (No. 12)
Inequivalent atoms, fractional coordinates:
1 Cd 0.225 0.000 0.146
2 Hg 0.000 0.500 0.500
3 Pd 0.043 0.000 0.223
4 Pd 0.091 0.500 0.958
5 Pd 0.139 0.000 0.683
6 Pd 0.180 0.500 0.408

=====

No. 2
The following is a DFT calculation (PBE-GGA) of an optimized crystal structure of Cd2HgPd6.

Summary:
- energy of formation from the pure elements (eV/f.u.) = -1.17
- V (A^3/atom) = 17.61

abc: 14.439 7.827 2.861
angles: 90.00 101.41 90.00
Space group C2/m (No. 12)
Inequivalent atoms, fractional coordinates:
1 Cd 0.167 0.000 0.174
2 Hg 0.000 0.500 0.500
3 Pd 0.000 0.186 0.000
4 Pd 0.167 0.309 0.670

=====

No. 3
The following is a DFT calculation (PBE-GGA) of an optimized crystal structure of CdHg2Pd3.

Summary:
- energy of formation from the pure elements (eV/f.u.) = -1.44
- V (A^3/atom) = 17.90

abc: 3.269 3.269 10.047
angles: 90.00 90.00 90.00
Space group P4/mmm (No. 123)
Inequivalent atoms, fractional coordinates:
1 Cd 0.000 0.000 0.000
2 Hg 0.000 0.000 0.331
3 Pd 0.500 0.500 0.163
4 Pd 0.500 0.500 0.500

=====

No. 4
The following is a DFT calculation (PBE-GGA) of an optimized crystal structure of CdHg2Pd.

Summary:
- energy of formation from the pure elements (eV/f.u.) = -0.12
- V (A^3/atom) = 20.34

abc: 3.428 3.428 6.925
angles: 90.00 90.00 90.00
Space group P4/mmm (No. 123)
Inequivalent atoms, fractional coordinates:
1 Cd 0.000 0.000 0.000
2 Hg 0.500 0.500 0.272
3 Pd 0.000 0.000 0.500

=====

| no. | density (g/cm3) |
| --- | --- |
| 1 | 11.6 |
| 2 | 11.1 |
| 3 | 12.9 |
| 4 | 12.7 |